(1)
Computed, not measured: crystalline TaTl2F at its relaxed geometry at the GGA-PBE level of DFT.

```
TaTl2F
1.0
4.1152 1.1496 2.4625
0.1290 -0.4079 4.9130
2.6866 -3.5573 2.1092
Tl Ta F
2 1 1
Direct
0.7500 0.7500 0.7500 Tl
0.2500 0.2500 0.2500 Tl
0.5000 0.5000 0.5000 Ta
0.0000 0.0000 0.0000 F
```

- ΔE to the lowest computed polymorph: 0.088 eV/atom
- Energy relative to the elements, uncorrected: 29 kJ per mole of atoms
- Fermi-level density of states: 0.7439 states/eV per atom

(2)
Computed, not measured: crystalline SrAlAgIr2 at its relaxed geometry at the GGA-PBE level of DFT.

```
SrAlAgIr2
1.0
-2.3381 4.1365 1.4715
-0.3989 -1.9398 4.8188
4.3739 2.0499 1.1873
Ir Sr Ag Al
2 1 1 1
Direct
0.0000 0.0000 0.5000 Ir
0.5000 0.0000 0.0000 Ir
0.0000 0.5000 0.0000 Sr
0.0000 0.0000 0.0000 Ag
0.5000 0.5000 0.5000 Al
```

- E_form: 1.329 eV/atom
- Fermi-level density of states: 0.8143 states/eV per atom

(3)
Computed, not measured: crystalline CaEr2PuTe4 at its relaxed geometry at the GGA-PBE level of DFT.

```
CaEr2PuTe4
1.0
-1.2955 -3.9703 -4.5841
-3.5396 -3.3111 3.8682
-2.5137 7.0703 -1.2188
Pu Te Ca Er
1 4 1 2
Direct
0.7500 0.2500 0.5000 Pu
0.7524 0.7524 0.5048 Te
0.4965 0.9965 0.9931 Te
0.0035 0.5035 0.0069 Te
0.2476 0.2476 0.4952 Te
0.5000 0.5000 0.0000 Ca
0.0000 0.0000 0.0000 Er
0.2500 0.7500 0.5000 Er
```

- Energy relative to the elements, uncorrected: -124 kJ per mole of atoms
- Fermi-level density of states: 1.4943 states/eV per atom

(4)
Computed, not measured: crystalline BaP2Pb at its relaxed geometry at the GGA-PBE level of DFT.

```
BaP2Pb
1.0
-0.9622 5.7082 4.9671
-0.2388 -5.0275 5.7314
3.7089 0.6637 5.8124
P Pb Ba
4 2 2
Direct
0.8750 0.9375 0.7500 P
0.6875 0.1250 0.2500 P
0.3750 0.3125 0.7500 P
0.0625 0.6250 0.2500 P
0.7500 0.2500 0.5000 Pb
0.0000 0.0000 0.0000 Pb
0.5000 0.5000 0.0000 Ba
0.2500 0.7500 0.5000 Ba
```

- E_form: -0.304 eV/atom
- Fermi-level density of states: 0.0000 states/eV per atom

(5)
Computed, not measured: crystalline ZrCoP2 at its relaxed geometry at the GGA-PBE level of DFT.

```
ZrCoP2
1.0
-3.9725 1.6279 2.9070
-1.7187 -2.7812 4.0240
4.4642 1.7920 -1.9342
P Co Zr
2 1 1
Direct
0.0000 0.0000 0.0000 P
0.2500 0.7500 0.5000 P
0.7500 0.2500 0.5000 Co
0.5000 0.5000 0.0000 Zr
```

- ΔE to the lowest computed polymorph: 0.313 eV/atom
- E_form: -0.411 eV/atom
- Fermi-level density of states: 0.7563 states/eV per atom

(6)
Computed, not measured: crystalline In2BiSe2 at its relaxed geometry at the GGA-PBE level of DFT.

```
In2BiSe2
1.0
5.4695 0.0000 0.0000
0.0000 5.4695 0.0000
2.7348 2.7348 4.6003
In Se Bi
2 2 1
Direct
0.6524 0.6524 0.6952 In
0.3476 0.3476 0.3048 In
0.2500 0.7500 0.5000 Se
0.7500 0.2500 0.5000 Se
0.0000 0.0000 0.0000 Bi
```

- ΔE to the lowest computed polymorph: 0.117 eV/atom
- Energy relative to the elements, uncorrected: -4 kJ per mole of atoms
- Fermi-level density of states: 0.8425 states/eV per atom

(7)
Computed, not measured: crystalline TlSeBr at its relaxed geometry at the GGA-PBE level of DFT.

```
TlSeBr
1.0
8.6666 0.0000 0.0012
0.0000 4.1434 0.0000
-4.0409 0.0000 13.4279
Se Tl Br
4 4 4
Direct
0.8043 0.0000 0.5506 Se
0.6709 0.5000 0.5732 Se
0.6709 0.0000 0.0732 Se
0.8043 0.5000 0.0506 Se
0.7300 0.0000 0.3111 Tl
0.3109 0.5000 0.9093 Tl
0.3109 0.0000 0.4093 Tl
0.7300 0.5000 0.8111 Tl
0.0233 0.0000 0.8640 Br
0.0233 0.5000 0.3640 Br
0.4389 0.0000 0.7697 Br
0.4389 0.5000 0.2697 Br
```

- Energy relative to the elements, uncorrected: -42 kJ per mole of atoms
- Fermi-level density of states: 0.1866 states/eV per atom

(8)
Computed, not measured: crystalline YGe2W at its relaxed geometry at the GGA-PBE level of DFT.

```
YGe2W
1.0
0.0000 3.3248 3.3248
3.3248 0.0000 3.3248
3.3248 3.3248 0.0000
Ge W Y
2 1 1
Direct
0.7500 0.7500 0.7500 Ge
0.2500 0.2500 0.2500 Ge
0.5000 0.5000 0.5000 W
0.0000 0.0000 0.0000 Y
```

- ΔE to the lowest computed polymorph: 0.000 eV/atom
- E_form: 0.009 eV/atom
- Fermi-level density of states: 0.7567 states/eV per atom

(9)
Computed, not measured: crystalline Rb2Mn2CrSe4 at its relaxed geometry at the GGA-PBE level of DFT.

```
Rb2Mn2CrSe4
1.0
-0.3168 2.4439 -3.1464
-5.2257 -4.7780 -3.1851
-4.2257 4.4153 6.3931
Mn Rb Cr Se
2 2 1 4
Direct
0.6731 0.9924 0.3463 Mn
0.3269 0.0076 0.6537 Mn
0.8784 0.4755 0.7569 Rb
0.1216 0.5245 0.2431 Rb
0.0000 0.0000 0.0000 Cr
0.2237 0.1999 0.4474 Se
0.4730 0.1956 0.9461 Se
0.7763 0.8001 0.5526 Se
0.5270 0.8044 0.0539 Se
```

- Energy relative to the elements, uncorrected: -65 kJ per mole of atoms

(10)
Computed, not measured: crystalline Be2RhAu at its relaxed geometry at the GGA-PBE level of DFT.

```
Be2RhAu
1.0
2.8958 0.0000 0.0000
0.0000 2.8958 0.0000
0.0000 0.0000 5.6370
Rh Be Au
1 2 1
Direct
0.5000 0.5000 0.2500 Rh
0.0000 0.0000 0.0352 Be
0.0000 0.0000 0.4648 Be
0.5000 0.5000 0.7500 Au
```

- ΔE to the lowest computed polymorph: 0.000 eV/atom
- E_form: -0.465 eV/atom
- Fermi-level density of states: 0.2507 states/eV per atom

(11)
Computed, not measured: crystalline PmErHg3 at its relaxed geometry at the GGA-PBE level of DFT.

```
PmErHg3
1.0
3.5530 0.0000 -0.4892
0.0000 4.9404 0.0000
0.2077 0.0000 14.6559
Er Hg Pm
2 6 2
Direct
0.2109 0.7500 0.4218 Er
0.7891 0.2500 0.5782 Er
0.6235 0.7500 0.2469 Hg
0.3166 0.7500 0.6332 Hg
0.6834 0.2500 0.3668 Hg
0.3765 0.2500 0.7531 Hg
0.5244 0.7500 0.0489 Hg
0.4756 0.2500 0.9511 Hg
0.0764 0.2500 0.1528 Pm
0.9236 0.7500 0.8472 Pm
```

- E_form: -0.419 eV/atom
- Fermi-level density of states: 1.0401 states/eV per atom

(12)
Computed, not measured: crystalline Sc2TaSbC at its relaxed geometry at the GGA-PBE level of DFT.

```
Sc2TaSbC
1.0
-0.2879 -0.0878 -4.5889
0.6133 -4.5575 0.0487
-4.1829 -0.5600 0.2732
Ta Sc C Sb
1 2 1 1
Direct
0.0000 0.0000 0.5000 Ta
0.0000 0.5000 0.0000 Sc
0.5000 0.0000 0.0000 Sc
0.0000 0.0000 0.0000 C
0.5000 0.5000 0.5000 Sb
```

- Energy relative to the elements, uncorrected: -47 kJ per mole of atoms
- Fermi-level density of states: 0.7987 states/eV per atom

Number 1: size of the total moment 0.00 μB/f.u.. Number 2: size of the total moment 0.00 μB/f.u.. Number 3: size of the total moment 6.01 μB/f.u.. Number 4: size of the total moment 0.00 μB/f.u.. Number 5: size of the total moment 0.00 μB/f.u.. Number 6: size of the total moment 0.00 μB/f.u.. Number 7: size of the total moment 0.00 μB/f.u.. Number 8: size of the total moment 0.00 μB/f.u.. Number 9: size of the total moment 14.01 μB/f.u.. Number 10: size of the total moment 0.00 μB/f.u.. Number 11: size of the total moment 0.18 μB/f.u.. Number 12: size of the total moment 0.00 μB/f.u..